DFT (PBE) results for an optimized crystal structure of Ac3ZnSn3Pb2.

## Properties
* calculated formation energy: -0.4752 eV/atom
* E: -4.1446 eV per atom
* D(E_F): 6.671 states/eV/f.u.

```
Ac3ZnSn3Pb2
1.0
8.3869 0.0000 0.0000
-4.1935 7.2633 0.0000
0.0000 0.0000 4.6734
Ac Zn Sn Pb
3 1 3 2
direct
0.0000 0.6227 0.0000 Ac
0.3773 0.3773 0.0000 Ac
0.6227 0.0000 0.0000 Ac
0.0000 0.0000 0.0000 Zn
0.0000 0.2386 0.5000 Sn
0.2386 0.0000 0.5000 Sn
0.7614 0.7614 0.5000 Sn
0.3333 0.6667 0.5000 Pb
0.6667 0.3333 0.5000 Pb
```

---

DFT (PBE) results for an optimized crystal structure of TaTePb2.

## Properties
* formation energy (no corrections): 0.35 eV/atom
* E: -5.2521 eV per atom
* D(E_F): 2.204 states/eV/f.u.

```
TaTePb2
1.0
3.0482 0.0000 0.0000
0.0000 3.0482 0.0000
0.0000 0.0000 12.7263
Ta Te Pb
1 1 2
direct
0.0000 0.0000 0.0000 Ta
0.0000 0.0000 0.5000 Te
0.5000 0.5000 0.1923 Pb
0.5000 0.5000 0.8077 Pb
```

---

DFT (PBE) results for an optimized crystal structure of Be2AsCl.

## Properties
* relative energy among the computed polymorphs: 42.9 kJ/mol of atoms
* formation energy (no corrections): 0.03 eV/atom
* E: -3.4570 eV per atom
* D(E_F): 2.444 states/eV/f.u.

```
Be2AsCl
1.0
1.5065 0.8698 9.0233
-1.5065 0.8698 9.0233
0.0000 -1.7395 9.0233
Be As Cl
2 1 1
direct
0.0000 0.0000 0.0000 Be
0.2643 0.2643 0.2643 Be
0.5356 0.5356 0.5356 As
0.7118 0.7118 0.7118 Cl
```

---

DFT (PBE) results for an optimized crystal structure of Li5AgHg4.

## Properties
* calculated formation energy: -0.3301 eV/atom
* E: -1.6929 eV per atom
* D(E_F): 4.312 states/eV/f.u.

```
Li5AgHg4
1.0
3.3184 0.0000 0.0000
0.0000 3.3184 0.0000
0.0000 0.0000 16.3228
Li Ag Hg
5 1 4
direct
0.0000 0.0000 0.0000 Li
0.0000 0.0000 0.2035 Li
0.0000 0.0000 0.4063 Li
0.0000 0.0000 0.5937 Li
0.0000 0.0000 0.7965 Li
0.5000 0.5000 0.5000 Ag
0.5000 0.5000 0.1015 Hg
0.5000 0.5000 0.3052 Hg
0.5000 0.5000 0.6948 Hg
0.5000 0.5000 0.8985 Hg
```

---

DFT (PBE) results for an optimized crystal structure of Tb6YMg.

## Properties
* calculated formation energy: 0.1284 eV/atom
* relative energy among the computed polymorphs: 10.1 kJ/mol of atoms
* E: -4.3516 eV per atom
* D(E_F): 13.945 states/eV/f.u.

```
Tb6YMg
1.0
6.3513 0.0000 0.0000
-0.6486 6.3203 0.0000
-0.6387 -0.7071 6.2868
Tb Y Mg
6 1 1
direct
0.0236 0.2580 0.0494 Tb
0.2581 0.5490 0.5242 Tb
0.4510 0.9760 0.2420 Tb
0.5490 0.0240 0.7580 Tb
0.7419 0.4510 0.4758 Tb
0.9764 0.7420 0.9506 Tb
0.0000 0.0000 0.5000 Y
0.5000 0.5000 0.0000 Mg
```

---

DFT (PBE) results for an optimized crystal structure of Nd2SnI.

## Properties
* relative energy among the computed polymorphs: 13.9 kJ/mol of atoms
* formation energy (no corrections): -0.73 eV/atom
* E: -4.5063 eV per atom
* D(E_F): 3.765 states/eV/f.u.

```
Nd2SnI
1.0
0.0000 3.9299 3.9299
3.9299 0.0000 3.9299
3.9299 3.9299 0.0000
Nd Sn I
2 1 1
direct
0.2500 0.2500 0.2500 Nd
0.7500 0.7500 0.7500 Nd
0.0000 0.0000 0.0000 Sn
0.5000 0.5000 0.5000 I
```

---

DFT (PBE) results for an optimized crystal structure of PmPr6Nd4.

## Properties
* calculated formation energy: 0.1365 eV/atom
* relative energy among the computed polymorphs: 0.0 kJ/mol of atoms
* E: -4.6362 eV per atom
* D(E_F): 15.678 states/eV/f.u.

```
PmPr6Nd4
1.0
11.2418 0.0000 0.0000
-5.6209 9.7357 0.0000
0.0000 0.0000 3.6657
Pm Pr Nd
1 6 4
direct
0.0000 0.0000 0.0000 Pm
0.1840 0.3681 0.5000 Pr
0.1840 0.8160 0.5000 Pr
0.5312 0.0623 0.0000 Pr
0.5312 0.4688 0.0000 Pr
0.6319 0.8160 0.5000 Pr
0.9377 0.4688 0.0000 Pr
0.3175 0.1588 0.5000 Nd
0.3333 0.6667 0.0000 Nd
0.8412 0.1588 0.5000 Nd
0.8412 0.6825 0.5000 Nd
```

---

DFT (PBE) results for an optimized crystal structure of In3HgN.

## Properties
* formation energy (no corrections): 1.43 eV/atom
* E: -1.9422 eV per atom
* D(E_F): 9.808 states/eV/f.u.

```
In3HgN
1.0
5.4602 0.0000 0.0000
0.0000 5.4602 0.0000
0.0000 0.0000 5.4602
In Hg N
3 1 1
direct
0.0000 0.0000 0.5000 In
0.0000 0.5000 0.0000 In
0.5000 0.0000 0.0000 In
0.0000 0.0000 0.0000 Hg
0.5000 0.5000 0.5000 N
```

---

DFT (PBE) results for an optimized crystal structure of SrAg2BrO2.

## Properties
* formation energy (no corrections): -0.95 eV/atom
* E: -4.1170 eV per atom
* D(E_F): 2.049 states/eV/f.u.

```
SrAg2BrO2
1.0
6.1720 0.0000 0.0000
0.0000 6.1109 0.0000
-0.5357 0.0000 7.4196
Sr Ag Br O
2 4 2 4
direct
0.0336 0.2500 0.1622 Sr
0.9664 0.7500 0.8378 Sr
0.1534 0.2500 0.7155 Ag
0.4820 0.7500 0.0092 Ag
0.5180 0.2500 0.9908 Ag
0.8466 0.7500 0.2845 Ag
0.2145 0.7500 0.4727 Br
0.7855 0.2500 0.5273 Br
0.2443 0.0116 0.9603 O
0.2443 0.4884 0.9603 O
0.7557 0.5116 0.0397 O
0.7557 0.9884 0.0397 O
```

---

DFT (PBE) results for an optimized crystal structure of CeScIn4.

## Properties
* calculated formation energy: -0.2157 eV/atom
* E: -4.0855 eV per atom
* D(E_F): 9.972 states/eV/f.u.

```
CeScIn4
1.0
0.0000 4.2379 4.2379
4.2379 0.0000 4.2379
4.2379 4.2379 0.0000
Ce Sc In
1 1 4
direct
0.0000 0.0000 0.0000 Ce
0.2500 0.2500 0.2500 Sc
0.1253 0.6249 0.6249 In
0.6249 0.1253 0.6249 In
0.6249 0.6249 0.1253 In
0.6249 0.6249 0.6249 In
```

---

DFT (PBE) results for an optimized crystal structure of Tb5Sm2Ho3.

## Properties
* calculated formation energy: 0.4035 eV/atom
* relative energy among the computed polymorphs: 19.8 kJ/mol of atoms
* E: -4.2288 eV per atom
* D(E_F): 15.169 states/eV/f.u.

```
Tb5Sm2Ho3
1.0
-4.6735 10.8495 3.3951
4.6735 -10.8495 3.3951
4.6735 10.8495 -3.3951
Tb Sm Ho
10 4 6
direct
0.0003 0.2500 0.7503 Tb
0.9997 0.7500 0.2497 Tb
0.1250 0.0919 0.2169 Tb
0.2500 0.2500 0.0000 Tb
0.3750 0.5919 0.9669 Tb
0.4997 0.2500 0.2497 Tb
0.5003 0.7500 0.7503 Tb
0.6250 0.4081 0.0331 Tb
0.7500 0.7500 0.0000 Tb
0.8750 0.9081 0.7831 Tb
0.1246 0.4009 0.5255 Sm
0.3754 0.9009 0.2763 Sm
0.6246 0.0991 0.7237 Sm
0.8754 0.5991 0.4745 Sm
0.1238 0.7495 0.8734 Ho
0.2500 0.7500 0.5000 Ho
0.3762 0.2495 0.6257 Ho
0.6238 0.7505 0.3743 Ho
0.7500 0.2500 0.5000 Ho
0.8762 0.2505 0.1266 Ho
```

---

DFT (PBE) results for an optimized crystal structure of BTePb2.

## Properties
* relative energy among the computed polymorphs: 0.0 kJ/mol of atoms
* formation energy (no corrections): 0.53 eV/atom
* E: -3.7775 eV per atom
* D(E_F): 2.576 states/eV/f.u.

```
BTePb2
1.0
-3.2590 3.2590 5.7040
3.2590 -3.2590 5.7040
3.2590 3.2590 -5.7040
B Te Pb
2 2 4
direct
0.0000 0.0000 0.0000 B
0.7500 0.2500 0.5000 B
0.2500 0.7500 0.5000 Te
0.5000 0.5000 0.0000 Te
0.0321 0.6250 0.9071 Pb
0.3750 0.2821 0.4071 Pb
0.7179 0.1250 0.0929 Pb
0.8750 0.9679 0.5929 Pb
```

---

DFT (PBE) results for an optimized crystal structure of RbHfTl.

## Properties
* calculated formation energy: 0.3715 eV/atom
* relative energy among the computed polymorphs: 22.4 kJ/mol of atoms
* E: -4.0576 eV per atom
* D(E_F): 2.324 states/eV/f.u.

```
RbHfTl
1.0
3.2438 -3.6205 0.0000
3.2438 3.6205 0.0000
0.0000 0.0000 9.1568
Rb Hf Tl
2 2 2
direct
0.2500 0.7500 0.8629 Rb
0.7500 0.2500 0.1371 Rb
0.2500 0.2500 0.5000 Hf
0.7500 0.7500 0.5000 Hf
0.2500 0.7500 0.3124 Tl
0.7500 0.2500 0.6876 Tl
```

---

DFT (PBE) results for an optimized crystal structure of KRuRh2.

## Properties
* calculated formation energy: 0.9093 eV/atom
* relative energy among the computed polymorphs: 45.9 kJ/mol of atoms
* E: -5.3598 eV per atom
* D(E_F): 6.588 states/eV/f.u.

```
KRuRh2
1.0
2.9559 -4.1523 0.0000
2.9559 4.1523 0.0000
0.0000 0.0000 2.7119
K Ru Rh
1 1 2
direct
0.0000 0.0000 0.0000 K
0.5000 0.5000 0.0000 Ru
0.0000 0.5000 0.5000 Rh
0.5000 0.0000 0.5000 Rh
```

---

DFT (PBE) results for an optimized crystal structure of La2FeAgH.

## Properties
* E: -5.0092 eV per atom
* D(E_F): 5.490 states/eV/f.u.

```
La2FeAgH
1.0
5.2792 0.0000 0.0000
0.0000 5.2792 0.0000
0.0000 0.0000 3.6732
La Fe Ag H
2 1 1 1
direct
0.0000 0.5000 0.0000 La
0.5000 0.0000 0.0000 La
0.0000 0.0000 0.5000 Fe
0.5000 0.5000 0.5000 Ag
0.0000 0.0000 0.0000 H
```